Compound: Tb2MgAlRu2
Source: the Alexandria database
Functional: GGA-PBE
Structure: relaxed

Calculated values
The formation energy from the elements comes out at -379 meV/atom. The calculation puts the total moment at 0.00 μB/f.u.

Cell: 5.727 5.743 8.365 Å, 110.08 110.02 90.00°
Atoms (fractional coordinates):
Tb1 0.173 0.415 0.346
Ru1 0.119 0.844 0.238
Ru2 0.881 0.156 0.762
Al1 0.750 0.500 0.000
Mg1 0.250 0.000 0.000
Tb2 0.673 0.930 0.346
Mg2 0.750 0.000 0.000
Ru3 0.619 0.394 0.238
Tb3 0.827 0.585 0.654
Ru4 0.381 0.606 0.762
Al2 0.250 0.500 0.000
Tb4 0.327 0.070 0.654

Compound: NiSbOs
Source: the Alexandria database
Functional: GGA-PBE
Structure: relaxed

Calculated values
For the formation energy without anion corrections, the calculation gives 322 meV per atom. The calculation puts the energy above the most stable polymorph in this dataset at 0 meV/atom. The calculation puts the total moment at 0.00 μB/f.u.

Cell: 4.259 4.259 4.259 Å, 60.00 60.00 60.00°
Atoms (fractional coordinates):
Ni1 0.500 0.500 0.500
Sb1 0.000 0.000 0.000
Os1 0.750 0.750 0.750

Compound: TaBRhPb2
Source: the Alexandria database
Functional: GGA-PBE
Structure: relaxed

Calculated values
The formation energy from the elements comes out at 1093 meV/atom. The calculation puts the total moment at 0.00 μB/f.u.

Cell: 5.361 3.864 5.361 Å, 90.00 90.00 90.00°
Atoms (fractional coordinates):
Pb1 0.500 0.000 0.000
Rh1 0.000 0.000 0.000
B1 0.000 0.500 0.000
Pb2 0.000 0.000 0.500
Ta1 0.500 0.500 0.500